Computed, not measured: crystalline Cd2RuBr at its relaxed geometry at the PBE level of DFT.

Cell: 3.2981 3.2169 8.2124 Å, 90.01 90.00 90.00°
Site moments in Bohr magnetons follow the coordinates.
Sites, in units of the cell vectors:
Ru: 0.5000 0.2500 0.2500  0.98
Br: 0.5000 0.7500 0.7500  0.00
Cd: 0.0000 0.7497 0.0433  0.00
Cd: 0.0000 0.7503 0.4567  0.00

Electronic total energy: -3.02 eV per atom
Spin magnetization: 1.01 μB/f.u.
Excess energy over the best structure of this formula in the dataset: 13.2 meV per atom
Space-group type: No. 47
N(E_F): 0.896 states/eV/atom